1.
VASP calculation (GGA-PBE) on a geometry-optimized KCa2Ru structure.

Formation energy from the elements (kJ per mole of atoms): 38.6
E_tot (eV per atom): -3.195
Polymorph energy (0 for the lowest one) (eV per atom): 0.1700
Size of the total moment (μB/f.u.): 0.12

Cell: 3.461 4.734 17.771 Å, 90.00 90.00 90.00°
Space group Imm2 (No. 44)
Symmetry-distinct sites (fractional):
K1 0.000 0.000 0.000 x2
Ca1 0.000 0.000 0.305 x2
Ca2 0.000 0.500 0.163 x2
Ru1 0.000 0.500 0.680 x2

2.
VASP calculation (GGA-PBE) on a geometry-optimized K2CaRu structure.

Formation energy from the elements (kJ per mole of atoms): 85.8
E_tot (eV per atom): -2.479
Polymorph energy (0 for the lowest one) (eV per atom): 0.3114
Size of the total moment (μB/f.u.): 0.43

Cell: 5.558 5.558 7.880 Å, 90.00 90.00 90.00°
Space group I-4m2 (No. 119)
Symmetry-distinct sites (fractional):
K1 0.000 0.000 0.000 x2
K2 0.000 0.500 0.250 x2
Ca1 0.000 0.000 0.500 x2
Ru1 0.000 0.500 0.750 x2

3.
VASP calculation (GGA-PBE) on a geometry-optimized K2CaRu structure.

Formation energy from the elements (kJ per mole of atoms): 55.8
E_tot (eV per atom): -2.790
Polymorph energy (0 for the lowest one) (eV per atom): 0.0000
Size of the total moment (μB/f.u.): 0.73

Cell: 20.532 3.429 4.632 Å, 90.00 102.82 90.00°
Space group C2/m (No. 12)
Symmetry-distinct sites (fractional):
K1 0.151 0.000 0.148 x4
Ca1 0.000 0.000 0.500 x2
Ru1 0.000 0.500 0.000 x2

4.
VASP calculation (GGA-PBE) on a geometry-optimized K2CaRu structure.

Formation energy from the elements (kJ per mole of atoms): 95.4
E_tot (eV per atom): -2.379
Polymorph energy (0 for the lowest one) (eV per atom): 0.4113
Size of the total moment (μB/f.u.): 1.26

Cell: 3.468 6.004 6.337 Å, 90.00 90.00 90.00°
Space group Pmmm (No. 47)
Symmetry-distinct sites (fractional):
K1 0.000 0.000 0.227 x2
Ca1 0.500 0.500 0.500 x1
Ru1 0.500 0.500 0.000 x1